[1]
Density functional theory data (PBE) for LaTa2W after structural relaxation.

It has space group R-3m (No. 166, hexagonal axes), with a = 3.1737 Å, b = 3.1737 Å, c = 29.0309 Å, α = 90.00°, β = 90.00° and γ = 120.00°. The inequivalent atoms are La at (0.0000, 0.0000, 0.0000), Ta at (0.0000, 0.0000, 0.2360) and W at (0.0000, 0.0000, 0.5000).

Its energy above the most stable polymorph in this dataset is 0.258 eV per atom. The density of states at the Fermi level is 13.8 states/eV/cell. As for the formation energy: 12.2 kcal/mol of atoms. Its total energy is -118.41 eV/cell.

***

[2]
Density functional theory data (PBE) for LaTaW3 after structural relaxation.

It has space group Pm-3m (No. 221), with a = 4.9172 Å, b = 4.9172 Å, c = 4.9172 Å, α = 90.00°, β = 90.00° and γ = 90.00°. The inequivalent atoms are La at (0.0000, 0.0000, 0.0000), Ta at (0.5000, 0.5000, 0.5000) and W at (0.0000, 0.5000, 0.5000).

Its energy above the most stable polymorph in this dataset is 0.000 eV per atom. The density of states at the Fermi level is 8.4 states/eV/cell. As for the formation energy: 37.9 kcal/mol of atoms. Its total energy is -47.43 eV/cell.

***

[3]
Density functional theory data (PBE) for LaTa2W after structural relaxation.

It has space group Cm (No. 8), with a = 9.3942 Å, b = 2.8637 Å, c = 6.2627 Å, α = 90.00°, β = 90.83° and γ = 90.00°. The inequivalent atoms are La at (0.0000, 0.0000, 0.0000), Ta at (0.0019, 0.5000, 0.4938), Ta at (0.2404, 0.0000, 0.7050) and W at (0.2565, 0.5000, 0.2903).

Its energy above the most stable polymorph in this dataset is 0.335 eV per atom. The density of states at the Fermi level is 8.4 states/eV/cell. As for the formation energy: 14.0 kcal/mol of atoms. Its total energy is -78.32 eV/cell.

***

[4]
Density functional theory data (PBE) for LaTa2W after structural relaxation.

It has space group P2/m (No. 10), with a = 2.9438 Å, b = 4.4577 Å, c = 6.6015 Å, α = 90.00°, β = 102.48° and γ = 90.00°. The inequivalent atoms are La at (0.0000, 0.0000, 0.0000), Ta at (0.2974, 0.5000, 0.6984) and W at (0.5000, 0.0000, 0.5000).

Its energy above the most stable polymorph in this dataset is 0.174 eV per atom. The density of states at the Fermi level is 4.0 states/eV/cell. As for the formation energy: 10.3 kcal/mol of atoms. Its total energy is -39.81 eV/cell.

***

[5]
Density functional theory data (PBE) for LaTa2W after structural relaxation.

It has space group P4/mmm (No. 123), with a = 3.2824 Å, b = 3.2824 Å, c = 7.9891 Å, α = 90.00°, β = 90.00° and γ = 90.00°. The inequivalent atoms are La at (0.0000, 0.0000, 0.0000), Ta at (0.5000, 0.5000, 0.3129) and W at (0.0000, 0.0000, 0.5000).

Its energy above the most stable polymorph in this dataset is 0.000 eV per atom. The density of states at the Fermi level is 3.4 states/eV/cell. As for the formation energy: 6.2 kcal/mol of atoms. Its total energy is -40.50 eV/cell.

***

[6]
Density functional theory data (PBE) for LaTa2W after structural relaxation.

It has space group Cmmm (No. 65), with a = 3.2518 Å, b = 4.9671 Å, c = 10.1663 Å, α = 90.00°, β = 90.00° and γ = 90.00°. The inequivalent atoms are La at (0.0000, 0.0000, 0.0000), Ta at (0.0000, 0.5000, 0.2893) and W at (0.0000, 0.0000, 0.5000).

Its energy above the most stable polymorph in this dataset is 0.053 eV per atom. The density of states at the Fermi level is 10.3 states/eV/cell. As for the formation energy: 7.5 kcal/mol of atoms. Its total energy is -80.58 eV/cell.

***

[7]
Density functional theory data (PBE) for LaTa2W after structural relaxation.

It has space group Pmm2 (No. 25), with a = 2.8576 Å, b = 4.6620 Å, c = 6.4717 Å, α = 90.00°, β = 90.00° and γ = 90.00°. The inequivalent atoms are La at (0.0000, 0.0000, 0.0000), Ta at (0.0000, 0.0000, 0.5106), Ta at (0.5000, 0.5000, 0.3048) and W at (0.5000, 0.5000, 0.7013).

Its energy above the most stable polymorph in this dataset is 0.346 eV per atom. The density of states at the Fermi level is 4.5 states/eV/cell. As for the formation energy: 14.2 kcal/mol of atoms. Its total energy is -39.12 eV/cell.

***

[8]
Density functional theory data (PBE) for LaTa2W after structural relaxation.

It has space group Immm (No. 71), with a = 3.2335 Å, b = 5.2539 Å, c = 9.7605 Å, α = 90.00°, β = 90.00° and γ = 90.00°. The inequivalent atoms are La at (0.0000, 0.0000, 0.0000), Ta at (0.0000, 0.5000, 0.2291) and W at (0.0000, 0.0000, 0.5000).

Its energy above the most stable polymorph in this dataset is 0.327 eV per atom. The density of states at the Fermi level is 9.5 states/eV/cell. As for the formation energy: 13.8 kcal/mol of atoms. Its total energy is -78.39 eV/cell.